## Al4RePb (PBE)

Data for a relaxed structure of Al4RePb. Values from VASP.

```
&SYSTEM
  ibrav = 0, nat = 6, ntyp = 3
/
ATOMIC_SPECIES
Al 26.98 Al.upf
Re 186.21 Re.upf
Pb 207.20 Pb.upf
ATOMIC_POSITIONS angstrom
Al 2.805 2.805 2.805
Al 4.636 4.636 2.805
Al 4.636 2.805 4.636
Al 2.805 4.636 4.636
Re 5.581 5.581 5.581
Pb 0.000 0.000 0.000
CELL_PARAMETERS angstrom
0.000 3.721 3.721
3.721 0.000 3.721
3.721 3.721 0.000
```

symmetry	No. 216
total magnetization	0.000	μB/atom
density of states at the Fermi level	3.38	states/eV/cell
energy relative to the elements	0.370	eV/atom